A geometry-optimized LiVOF3 structure, computed with PBE with a Hubbard U.

a = 4.9853 Å, b = 5.1945 Å, c = 11.5435 Å
α = 90.00°, β = 90.00°, γ = 90.00°
Last column: nearest neighbours and their distance in Å.
Space group Pnc2 (No. 30)
Symmetry-distinct sites (fractional):
1 Li 0.0000 0.0000 0.0000 [2 per cell]  4 F 1.84-2.02
2 Li 0.0000 0.0000 0.4106 [2 per cell]  4 F 2.10-2.19, 2 O 2.31
3 V 0.0000 0.0000 0.6856 [2 per cell]  2 O 1.87, 4 F 1.94
4 V 0.5000 0.0000 0.8210 [2 per cell]  2 O 1.86, 4 F 1.89-2.06
5 O 0.1965 0.1962 0.7911 [4 per cell]  2 V 1.86-1.87
6 F 0.1418 0.1981 0.5567 [4 per cell]  1 Li 1.84, 1 V 1.94
7 F 0.3069 0.7007 0.4295 [4 per cell]  1 V 1.89, 1 Li 2.02
8 F 0.3139 0.7189 0.1952 [4 per cell]  2 V 1.94-2.06

Summary:
Calculated density = 2.9 Mg/m³
Excess energy over the best structure of this formula in the dataset = 85 meV/atom
Raw total energy = -35.30 eV per formula unit
Fermi-level density of states = 0.00 states/eV per cell